! PBE with a Hubbard U CeCr4Cu3O12, optimized geometry; values from VASP
&SYSTEM
  ibrav = 0, nat = 20, ntyp = 4
/
ATOMIC_SPECIES
Ce 140.12 Ce.upf
Cr 52.00 Cr.upf
Cu 63.55 Cu.upf
O 16.00 O.upf
CELL_PARAMETERS angstrom
-3.7114 3.7114 3.7114
3.7114 -3.7114 3.7114
3.7114 3.7114 -3.7114
ATOMIC_POSITIONS crystal
Ce 0.0000 0.0000 0.0000
Cr 0.0000 0.0000 0.5000
Cr 0.0000 0.5000 0.0000
Cr 0.5000 0.0000 0.0000
Cr 0.5000 0.5000 0.5000
Cu 0.0000 0.5000 0.5000
Cu 0.5000 0.0000 0.5000
Cu 0.5000 0.5000 0.0000
O 0.1360 0.3035 0.8325
O 0.1675 0.4710 0.3035
O 0.1675 0.8640 0.6965
O 0.3035 0.1675 0.4710
O 0.3035 0.8325 0.1360
O 0.4710 0.3035 0.1675
O 0.5290 0.6965 0.8325
O 0.6965 0.1675 0.8640
O 0.6965 0.8325 0.5290
O 0.8325 0.1360 0.3035
O 0.8325 0.5290 0.6965
O 0.8640 0.6965 0.1675
! Crystal system: cubic
! Calculated total energy: -7.0455 eV per atom
! V: 204.5 Å³/cell
! DOS at the Fermi energy: 0.315 states/eV per atom